Density functional theory data (PBE) for a relaxed structure of Sr2AlHgS5.

Cell and atoms, written as CIF:
```
data_Sr2AlHgS5
_cell_length_a 9.044
_cell_length_b 9.044
_cell_length_c 12.388
_cell_angle_alpha 90.00
_cell_angle_beta 90.00
_cell_angle_gamma 154.80
_symmetry_space_group_name_H-M 'P 1'
_symmetry_Int_Tables_number 1
loop_
_symmetry_equiv_pos_as_xyz
'x,y,z'
loop_
_atom_site_label
_atom_site_fract_x
_atom_site_fract_y
_atom_site_fract_z
_atom_site_occupancy
Sr1 0.108 0.892 0.500 1
Sr2 0.124 0.876 0.147 1
Sr3 0.876 0.124 0.647 1
Sr4 0.892 0.108 0.000 1
Al1 0.438 0.562 0.265 1
Al2 0.562 0.438 0.765 1
Hg1 0.219 0.781 0.868 1
Hg2 0.781 0.219 0.368 1
S1 0.044 0.956 0.862 1
S2 0.279 0.721 0.515 1
S3 0.311 0.689 0.221 1
S4 0.366 0.634 0.828 1
S5 0.497 0.503 0.106 1
S6 0.503 0.497 0.606 1
S7 0.634 0.366 0.328 1
S8 0.689 0.311 0.721 1
S9 0.721 0.279 0.015 1
S10 0.956 0.044 0.362 1
```

density	4.33	g/cm³
E_tot	-4.2773	eV per atom